Entry 1:
Compound: CeNd6ErTm2
Source: Alexandria via LeMat-Bulk
Functional: PBE
Structure: optimized geometry

Summary:
The value obtained for the electronic total energy is -45.67 eV per formula unit. Its formation energy is 229 kJ/mol of formula units. As for the space-group type: C2/m. The total moment is 1.23 μB per formula unit.

Cell: 8.8141 7.0923 6.6445 Å, 122.26 101.12 90.00°
Closest atoms and distances in Å follow each position.
Atoms (fractional coordinates):
1 Ce 0.0000 0.5000 0.0000  6 Nd 3.47-3.66, 4 Tm 3.88
2 Nd 0.4206 0.6287 0.2573  5 Nd 3.49-3.76, 1 Ce 3.66
3 Nd 0.2028 0.0611 0.6586  2 Tm 3.23-3.47, 1 Nd 3.29, 1 Er 3.31, 1 Ce 3.47
4 Nd 0.7972 0.4024 0.3414  2 Tm 3.23-3.47, 1 Nd 3.29, 1 Er 3.31, 1 Ce 3.47
5 Nd 0.2028 0.5976 0.6586  2 Tm 3.23-3.47, 1 Nd 3.29, 1 Er 3.31, 1 Ce 3.47
6 Nd 0.7972 0.9389 0.3414  2 Tm 3.23-3.47, 1 Nd 3.29, 1 Er 3.31, 1 Ce 3.47
7 Nd 0.5794 0.3713 0.7427  5 Nd 3.49-3.76, 1 Ce 3.66
8 Er 0.5000 0.0000 0.0000  4 Nd 3.31, 2 Tm 3.36
9 Tm 0.1634 0.0921 0.1843  1 Tm 3.14, 4 Nd 3.23-3.47, 1 Er 3.36
10 Tm 0.8366 0.9079 0.8157  1 Tm 3.14, 4 Nd 3.23-3.47, 1 Er 3.36



Entry 2:
Compound: CeNdEr2Tm4
Source: Alexandria via LeMat-Bulk
Functional: PBE
Structure: optimized geometry

Summary:
The value obtained for the electronic total energy is -37.32 eV per formula unit. Its formation energy is 38 kJ/mol of formula units. As for the space-group type: P2/m. The total moment is 1.00 μB per formula unit.

Cell: 5.0134 4.9905 11.0661 Å, 63.20 90.00 90.00°
Closest atoms and distances in Å follow each position.
Atoms (fractional coordinates):
1 Ce 0.0000 0.5000 0.5000  8 Tm 3.48-3.50, 4 Er 3.54
2 Nd 0.5000 0.5000 0.0000  8 Tm 3.54, 4 Er 3.54
3 Er 0.0000 0.0000 0.0000  8 Tm 3.53-3.54, 4 Nd 3.54
4 Er 0.5000 0.0000 0.5000  8 Tm 3.48-3.50, 4 Ce 3.54
5 Tm 0.0000 0.7513 0.7468  2 Ce 3.48-3.49, 4 Er 3.50-3.54, 4 Tm 3.53-3.54, 2 Nd 3.54
6 Tm 0.0000 0.2487 0.2532  2 Ce 3.48-3.50, 4 Er 3.50-3.54, 4 Tm 3.53-3.54, 2 Nd 3.54
7 Tm 0.5000 0.7465 0.2536  4 Er 3.48-3.54, 2 Ce 3.49, 4 Tm 3.53-3.54, 2 Nd 3.54
8 Tm 0.5000 0.2535 0.7464  4 Er 3.48-3.54, 2 Ce 3.49, 4 Tm 3.53-3.54, 2 Nd 3.54



Entry 3:
Compound: CeNdEr5Tm2
Source: Alexandria via LeMat-Bulk
Functional: PBE
Structure: optimized geometry

Summary:
The value obtained for the electronic total energy is -40.84 eV per formula unit. Its formation energy is 156 kJ/mol of formula units. As for the space-group type: Cmc2_1. The total moment is 0.82 μB per formula unit.

Cell: 5.6439 11.0141 9.5248 Å, 90.00 90.00 104.85°
Closest atoms and distances in Å follow each position.
Atoms (fractional coordinates):
1 Ce 0.8039 0.6079 0.5239  2 Tm 3.29-3.35, 5 Er 3.31-3.44, 2 Nd 3.66
2 Ce 0.1961 0.3921 0.0239  2 Tm 3.29-3.35, 5 Er 3.31-3.44, 2 Nd 3.66
3 Nd 0.5966 0.1931 0.9222  3 Er 3.05-3.39
4 Nd 0.4034 0.8069 0.4222  3 Er 3.05-3.39
5 Er 0.3939 0.7877 0.0392  3 Er 3.25-3.58, 4 Tm 3.30-3.50
6 Er 0.7341 0.4682 0.8348  1 Nd 3.05, 1 Tm 3.26, 1 Ce 3.31, 2 Er 3.41
7 Er 0.4711 0.9421 0.7449  2 Nd 3.16-3.39, 3 Er 3.25-3.50, 2 Tm 3.42
8 Er 0.3071 0.6142 0.7173  3 Ce 3.37-3.76, 5 Er 3.41-3.75, 3 Tm 3.44-3.60, 1 Nd 3.48
9 Er 0.9876 0.9752 0.5167  2 Tm 3.25-3.61, 2 Nd 3.46, 2 Er 3.58
10 Er 0.6061 0.2123 0.5392  3 Er 3.25-3.58, 4 Tm 3.30-3.50
11 Er 0.2659 0.5318 0.3348  1 Nd 3.05, 1 Tm 3.26, 1 Ce 3.31, 2 Er 3.41
12 Er 0.5289 0.0579 0.2449  2 Nd 3.16-3.39, 3 Er 3.25-3.50, 2 Tm 3.42
13 Er 0.6929 0.3858 0.2173  3 Ce 3.37-3.76, 5 Er 3.41-3.75, 3 Tm 3.44-3.60, 1 Nd 3.48
14 Er 0.0124 0.0248 0.0167  2 Tm 3.25-3.61, 2 Nd 3.46, 2 Er 3.58
15 Tm 0.8870 0.7741 0.8220  9 Er 3.25-3.61, 1 Ce 3.35
16 Tm 0.1383 0.2766 0.7030  1 Ce 3.29, 4 Er 3.30-3.67, 2 Nd 3.62, 1 Tm 3.67
17 Tm 0.1130 0.2259 0.3220  9 Er 3.25-3.61, 1 Ce 3.35
18 Tm 0.8617 0.7234 0.2030  1 Ce 3.29, 4 Er 3.30-3.67, 2 Nd 3.62, 1 Tm 3.67



Entry 4:
Compound: Ce2Nd3Er6Tm
Source: Alexandria via LeMat-Bulk
Functional: PBE
Structure: optimized geometry

Summary:
The value obtained for the electronic total energy is -57.50 eV per formula unit. Its formation energy is 51 kJ/mol of formula units. As for the space-group type: C2/m. The total moment is 1.87 μB per formula unit.

Cell: 6.1525 6.1525 11.6970 Å, 95.02 95.02 119.98°
Closest atoms and distances in Å follow each position.
Atoms (fractional coordinates):
1 Ce 0.3337 0.6663 0.0000  6 Er 3.49, 3 Ce 3.54-3.56, 3 Tm 3.55-3.56
2 Ce 0.6663 0.3337 0.0000  6 Er 3.49, 3 Ce 3.54-3.56, 3 Tm 3.55-3.56
3 Nd 0.1659 0.8341 0.5000  6 Nd 3.54-3.56, 6 Er 3.58
4 Nd 0.8341 0.1659 0.5000  6 Nd 3.54-3.56, 6 Er 3.58
5 Nd 0.5000 0.5000 0.5000  6 Nd 3.55-3.56, 6 Er 3.57-3.58
6 Er 0.9179 0.5828 0.7547  2 Ce 3.49, 1 Tm 3.50, 6 Er 3.54-3.57, 3 Nd 3.58
7 Er 0.7469 0.7469 0.2455  2 Ce 3.49, 1 Tm 3.50, 6 Er 3.54-3.57, 3 Nd 3.57-3.58
8 Er 0.0821 0.4172 0.2453  2 Ce 3.49, 1 Tm 3.50, 6 Er 3.54-3.57, 3 Nd 3.58
9 Er 0.5828 0.9179 0.7547  2 Ce 3.49, 1 Tm 3.50, 6 Er 3.54-3.57, 3 Nd 3.58
10 Er 0.2531 0.2531 0.7545  2 Ce 3.49, 1 Tm 3.50, 6 Er 3.54-3.57, 3 Nd 3.57-3.58
11 Er 0.4172 0.0821 0.2453  2 Ce 3.49, 1 Tm 3.50, 6 Er 3.54-3.57, 3 Nd 3.58
12 Tm 0.0000 0.0000 0.0000  6 Er 3.50, 6 Ce 3.55-3.56